Entry 1:
A plane-wave DFT calculation with PBE-GGA was carried out for crystalline KTaRh2 at its relaxed geometry.

## Properties
offset from the most stable computed form	0.4590	eV per atom
DFT formation energy	0.554	eV per atom
crystal system	cubic

abc: 4.6554 4.6554 4.6554
angles: 60.00 60.00 60.00
Atoms (fractional coordinates):
K (0.0000, 0.0000, 0.0000)
Ta (0.5000, 0.5000, 0.5000)
Rh (0.2500, 0.2500, 0.2500)
Rh (0.7500, 0.7500, 0.7500)



Entry 2:
A plane-wave DFT calculation with PBE-GGA was carried out for crystalline HfCo2Si at its relaxed geometry.

## Properties
crystal system	tetragonal

abc: 5.3628 5.3628 5.3628
angles: 104.84 104.84 119.20
Atoms (fractional coordinates):
Hf (0.0000, 0.0000, 0.0000)
Hf (0.7500, 0.2500, 0.5000)
Co (0.1757, 0.1250, 0.5507)
Co (0.3750, 0.8243, 0.9493)
Co (0.5743, 0.6250, 0.4493)
Co (0.8750, 0.4257, 0.0507)
Si (0.2500, 0.7500, 0.5000)
Si (0.5000, 0.5000, 0.0000)



Which E belongs to each record? In order, -6.36, -7.45 eV per atom.